(1)
## KPtCl2 (PBE)

Data for a relaxed KPtCl2 crystal.

Calculated values
**Magnetic moment**: 4.0 Bohr magnetons per cell
**E**: -47.4 eV per cell
**Uncorrected formation energy**: -0.252 eV/atom
**Density of states at the Fermi level**: 6.18 states/eV/f.u.
**Crystal system**: cubic

Unit cell a=7.0601 b=7.0601 c=7.0601 alpha=90.00 beta=90.00 gamma=90.00
With the nearest neighbours (Å) after each atom.
Space group Fm-3m (No. 225)
Symmetry-distinct sites (fractional):
K  0.0000  0.0000  0.0000 (multiplicity 4)  8 Cl 3.06
Pt  0.0000  0.0000  0.5000 (multiplicity 4)  8 Cl 3.06
Cl  0.2500  0.2500  0.2500 (multiplicity 8)  4 K 3.06, 4 Pt 3.06

=====

(2)
## CaTaNO2 (PBE)

Data for a relaxed CaTaNO2 crystal.

Calculated values
**Magnetic moment**: 0.0 Bohr magnetons per cell
**E**: -175.5 eV per cell
**Uncorrected formation energy**: -2.356 eV/atom
**Crystal system**: monoclinic

Unit cell a=5.5712 b=5.6880 c=9.6354 alpha=90.00 beta=125.02 gamma=90.00
With the nearest neighbours (Å) after each atom.
Space group P2_1/c (No. 14)
Symmetry-distinct sites (fractional):
Ca  0.2316  0.0407  0.2456 (multiplicity 4)  4 O 2.39-2.57, 2 N 2.44-2.63
Ta  0.0000  0.0000  0.5000 (multiplicity 2)  2 N 2.04, 4 O 2.04
Ta  0.5000  0.0000  0.0000 (multiplicity 2)  4 O 2.04-2.05, 2 N 2.04
N  0.1708  0.2161  0.9557 (multiplicity 4)  2 Ta 2.04
O  0.2351  0.7149  0.9494 (multiplicity 4)  2 Ta 2.04-2.05
O  0.3405  0.0223  0.7502 (multiplicity 4)  2 Ta 2.04

=====

(3)
## LiSmCd5Ag2 (PBE)

Data for a relaxed LiSmCd5Ag2 crystal.

Calculated values
**Magnetic moment**: 0.0 Bohr magnetons per cell
**E**: -17.1 eV per cell
**Density of states at the Fermi level**: 3.64 states/eV/f.u.
**Crystal system**: tetragonal

Unit cell a=5.1343 b=5.1343 c=8.3046 alpha=90.00 beta=90.00 gamma=90.00
With the nearest neighbours (Å) after each atom.
Space group P4/mmm (No. 123)
Symmetry-distinct sites (fractional):
Li  0.0000  0.0000  0.0000 (multiplicity 1)  8 Cd 3.36
Sm  0.0000  0.0000  0.5000 (multiplicity 1)  12 Cd 3.25-3.63
Cd  0.0000  0.5000  0.2608 (multiplicity 4)  2 Ag 2.71
Cd  0.5000  0.5000  0.5000 (multiplicity 1)  2 Ag 2.85
Ag  0.5000  0.5000  0.1570 (multiplicity 2)  1 Ag 2.61, 5 Cd 2.71-2.85

=====

(4)
## Rb2GaHg4 (PBE)

Data for a relaxed Rb2GaHg4 crystal.

Calculated values
**Magnetic moment**: 0.0 Bohr magnetons per cell
**E**: -14.2 eV per cell
**Density of states at the Fermi level**: 2.88 states/eV/f.u.
**Crystal system**: tetragonal

Unit cell a=5.3940 b=5.3940 c=18.7947 alpha=90.00 beta=90.00 gamma=90.00
With the nearest neighbours (Å) after each atom.
Space group I4/mmm (No. 139)
Symmetry-distinct sites (fractional):
Rb  0.0000  0.0000  0.1430 (multiplicity 4)  9 Hg 3.66-3.83
Ga  0.0000  0.0000  0.5000 (multiplicity 2)  4 Hg 2.70
Hg  0.0000  0.0000  0.3375 (multiplicity 4)  1 Ga 3.05
Hg  0.0000  0.5000  0.0000 (multiplicity 4)  2 Ga 2.70

=====

(5)
## CaRu2Se (PBE)

Data for a relaxed CaRu2Se crystal.

Calculated values
**Magnetic moment**: 0.0 Bohr magnetons per cell
**E**: -67.4 eV per cell
**Uncorrected formation energy**: 0.390 eV/atom
**Density of states at the Fermi level**: 5.47 states/eV/f.u.
**Crystal system**: trigonal

Unit cell a=3.2404 b=3.2404 c=24.4788 alpha=90.00 beta=90.00 gamma=120.00
With the nearest neighbours (Å) after each atom.
Space group R-3m (No. 166, hexagonal axes)
Symmetry-distinct sites (fractional):
Ca  0.0000  0.0000  0.0000 (multiplicity 3)  6 Ru 3.07, 6 Ca 3.24
Ru  0.0000  0.0000  0.2341 (multiplicity 6)  3 Se 2.49
Se  0.0000  0.0000  0.5000 (multiplicity 3)  6 Ru 2.49

=====

(6)
## Tm5U3As8 (PBE)

Data for a relaxed Tm5U3As8 crystal.

Calculated values
**Magnetic moment**: 21.8 Bohr magnetons per cell
**E**: -338.3 eV per cell
**Density of states at the Fermi level**: 15.47 states/eV/f.u.
**Crystal system**: trigonal

Unit cell a=8.1087 b=8.1087 c=20.0512 alpha=90.00 beta=90.00 gamma=120.00
With the nearest neighbours (Å) after each atom.
Space group R-3m (No. 166, hexagonal axes)
Symmetry-distinct sites (fractional):
Tm  0.0000  0.0000  0.0000 (multiplicity 3)  6 As 2.88
Tm  0.0000  0.0000  0.5000 (multiplicity 3)  6 As 2.88
Tm  0.0000  0.5000  0.0000 (multiplicity 9)  6 As 2.86-2.87
U  0.0000  0.5000  0.5000 (multiplicity 9)  6 As 2.88-2.89
As  0.0000  0.0000  0.2510 (multiplicity 6)  3 Tm 2.86, 3 U 2.89
As  0.0000  0.5000  0.2501 (multiplicity 18)  4 Tm 2.87-2.88, 2 U 2.88

=====

(7)
## TbSmEr6 (PBE)

Data for a relaxed TbSmEr6 crystal.

Calculated values
**Magnetic moment**: 0.0 Bohr magnetons per cell
**E**: -146.2 eV per cell
**Density of states at the Fermi level**: 11.57 states/eV/f.u.
**Crystal system**: orthorhombic

Unit cell a=7.0746 b=9.9490 c=14.0894 alpha=90.00 beta=90.00 gamma=90.00
With the nearest neighbours (Å) after each atom.
Space group Fmmm (No. 69)
Symmetry-distinct sites (fractional):
Tb  0.0000  0.0000  0.0000 (multiplicity 4)  10 Er 3.52-3.53, 2 Sm 3.54
Sm  0.0000  0.0000  0.5000 (multiplicity 4)  10 Er 3.52-3.53, 2 Tb 3.54
Er  0.0000  0.0000  0.2500 (multiplicity 8)  10 Er 3.52-3.54, 1 Tb 3.52, 1 Sm 3.52
Er  0.2500  0.2500  0.1260 (multiplicity 16)  8 Er 3.50-3.55, 2 Tb 3.53, 2 Sm 3.53

=====

(8)
## LiMg2Cu (PBE)

Data for a relaxed LiMg2Cu crystal.

Calculated values
**Magnetic moment**: 0.0 Bohr magnetons per cell
**E**: -18.2 eV per cell
**Density of states at the Fermi level**: 1.63 states/eV/f.u.
**Crystal system**: monoclinic

Unit cell a=5.3651 b=2.9772 c=9.4631 alpha=90.00 beta=102.32 gamma=90.00
With the nearest neighbours (Å) after each atom.
Space group Cm (No. 8)
Symmetry-distinct sites (fractional):
Li  0.0000  0.0000  0.0000 (multiplicity 2)  6 Li 2.98-3.07, 6 Mg 3.00-3.10
Mg  0.2203  0.0000  0.7267 (multiplicity 2)  3 Cu 2.72-2.75, 2 Mg 2.98
Mg  0.4066  0.0000  0.2719 (multiplicity 2)  3 Cu 2.72-2.75, 2 Mg 2.98, 1 Li 3.00
Cu  0.3134  0.5000  0.4994 (multiplicity 2)  6 Mg 2.72-2.75, 2 Cu 2.98